A relaxed MnZn3W crystal. Source: Alexandria, functional PBE-GGA.

Computed properties:
Calculated density = 8.2 g/cm³
Calculated formation energy = 1406 meV/atom

Geometry as CIF:
```
data_MnZn3W
_space_group_name_H-M_alt 'P 1'
_space_group_IT_number 1
_cell_length_a 4.453
_cell_length_b 4.453
_cell_length_c 4.453
_cell_angle_alpha 90.00
_cell_angle_beta 90.00
_cell_angle_gamma 90.00
loop_
_space_group_symop_operation_xyz
'x,y,z'
loop_
_atom_site_label
_atom_site_type_symbol
_atom_site_fract_x
_atom_site_fract_y
_atom_site_fract_z
_atom_site_occupancy
Mn1 Mn 0.000 0.000 0.000 1
Zn1 Zn 0.000 0.000 0.500 1
Zn2 Zn 0.000 0.500 0.000 1
Zn3 Zn 0.500 0.000 0.000 1
W1 W 0.500 0.500 0.500 1
```

A relaxed CaCrTc2 crystal. Source: Alexandria, functional PBE-GGA.

Computed properties:
Calculated density = 6.7 g/cm³
Energy above the most stable polymorph in this dataset = 0.00 eV/f.u.
Calculated formation energy = 223 meV/atom

Geometry as CIF:
```
data_CaCrTc2
_space_group_name_H-M_alt 'P 1'
_space_group_IT_number 1
_cell_length_a 3.047
_cell_length_b 3.047
_cell_length_c 15.348
_cell_angle_alpha 90.00
_cell_angle_beta 90.00
_cell_angle_gamma 90.00
loop_
_space_group_symop_operation_xyz
'x,y,z'
loop_
_atom_site_label
_atom_site_type_symbol
_atom_site_fract_x
_atom_site_fract_y
_atom_site_fract_z
_atom_site_occupancy
Ca1 Ca 0.250 0.250 0.118 1
Ca2 Ca 0.750 0.750 0.882 1
Cr1 Cr 0.250 0.250 0.538 1
Cr2 Cr 0.750 0.750 0.462 1
Tc1 Tc 0.250 0.250 0.355 1
Tc2 Tc 0.250 0.250 0.737 1
Tc3 Tc 0.750 0.750 0.263 1
Tc4 Tc 0.750 0.750 0.645 1
```

A relaxed ZrAs2Pt crystal. Source: Alexandria, functional PBE-GGA.

Computed properties:
Calculated density = 7.9 g/cm³
Calculated formation energy = -348 meV/atom

Geometry as CIF:
```
data_ZrAs2Pt
_space_group_name_H-M_alt 'P 1'
_space_group_IT_number 1
_cell_length_a 3.915
_cell_length_b 3.915
_cell_length_c 20.776
_cell_angle_alpha 90.00
_cell_angle_beta 90.00
_cell_angle_gamma 120.00
loop_
_space_group_symop_operation_xyz
'x,y,z'
loop_
_atom_site_label
_atom_site_type_symbol
_atom_site_fract_x
_atom_site_fract_y
_atom_site_fract_z
_atom_site_occupancy
Zr1 Zr 0.000 0.000 0.000 1
Zr2 Zr 0.333 0.667 0.667 1
Zr3 Zr 0.667 0.333 0.333 1
As1 As 0.000 0.000 0.533 1
As2 As 0.000 0.000 0.737 1
As3 As 0.333 0.667 0.200 1
As4 As 0.333 0.667 0.403 1
As5 As 0.667 0.333 0.070 1
As6 As 0.667 0.333 0.867 1
Pt1 Pt 0.000 0.000 0.242 1
Pt2 Pt 0.333 0.667 0.909 1
Pt3 Pt 0.667 0.333 0.575 1
```

A relaxed BaAl3Sb crystal. Source: Alexandria, functional PBE-GGA.

Computed properties:
Calculated density = 2.8 g/cm³
Energy relative to the elements, uncorrected = 7.1 eV/f.u.
Energy above the most stable polymorph in this dataset = 5.09 eV/f.u.

Geometry as CIF:
```
data_BaAl3Sb
_space_group_name_H-M_alt 'P 1'
_space_group_IT_number 1
_cell_length_a 5.886
_cell_length_b 5.886
_cell_length_c 5.886
_cell_angle_alpha 90.00
_cell_angle_beta 90.00
_cell_angle_gamma 90.00
loop_
_space_group_symop_operation_xyz
'x,y,z'
loop_
_atom_site_label
_atom_site_type_symbol
_atom_site_fract_x
_atom_site_fract_y
_atom_site_fract_z
_atom_site_occupancy
Ba1 Ba 0.000 0.000 0.000 1
Al1 Al 0.000 0.000 0.500 1
Al2 Al 0.000 0.500 0.000 1
Al3 Al 0.500 0.000 0.000 1
Sb1 Sb 0.500 0.500 0.500 1
```

Number 1: electronic total energy -3.783 eV per atom, N(E_F) 9.1 states/eV per cell. Number 2: electronic total energy -7.867 eV per atom, N(E_F) 9.5 states/eV per cell. Number 3: electronic total energy -6.320 eV per atom, N(E_F) 11.4 states/eV per cell. Number 4: electronic total energy -2.042 eV per atom, N(E_F) 4.1 states/eV per cell.